Entry 1:
YP2SN: optimized geometry, PBE.

Results
The polymorph energy (0 for the lowest one) is 0 kJ/mol of formula units.

abc: 4.157 4.157 4.432
angles: 90.00 90.00 90.00
Atoms (fractional coordinates):
Y  0.500  0.500  0.500
P  0.000  0.500  0.000
P  0.500  0.000  0.000
S  0.000  0.000  0.500
N  0.000  0.000  0.000

***

Entry 2:
YPS2N: optimized geometry, PBE.

Results
The polymorph energy (0 for the lowest one) is 736 kJ/mol of formula units.

abc: 5.261 5.261 5.479
angles: 90.00 90.00 90.00
Last column: magnetic moment on the atom in μB.
Atoms (fractional coordinates):
Y  0.000  0.000  0.000  -0.01
P  0.000  0.000  0.500  0.12
S  0.000  0.500  0.000  0.13
S  0.500  0.000  0.000  0.13
N  0.500  0.500  0.500  1.88

***

Entry 3:
Y6P2S3N: optimized geometry, PBE.

Results
The calculation puts the raw total energy at -7.690 eV per atom.

abc: 3.860 7.840 8.743
angles: 103.66 102.75 90.00
Atoms (fractional coordinates):
Y  0.351  0.922  0.702
Y  0.666  0.579  0.333
Y  0.649  0.078  0.298
Y  0.001  0.218  0.001
Y  0.999  0.782  0.999
Y  0.334  0.421  0.667
P  0.834  0.669  0.669
P  0.166  0.331  0.331
S  0.500  0.500  0.000
S  0.832  0.164  0.663
S  0.168  0.836  0.337
N  0.500  0.000  0.000

***

Entry 4:
YPS2N: optimized geometry, PBE.

Results
The polymorph energy (0 for the lowest one) is 197 kJ/mol of formula units.

abc: 4.410 4.410 4.004
angles: 90.00 90.00 90.00
Atoms (fractional coordinates):
Y  0.500  0.500  0.500
P  0.000  0.000  0.500
S  0.000  0.500  0.000
S  0.500  0.000  0.000
N  0.000  0.000  0.000

***

Entry 5:
YPS2N: optimized geometry, PBE.

Results
The polymorph energy (0 for the lowest one) is 575 kJ/mol of formula units.

abc: 5.292 5.292 4.130
angles: 90.00 90.00 90.00
Last column: magnetic moment on the atom in μB.
Atoms (fractional coordinates):
Y  0.000  0.000  0.000  -0.02
P  0.500  0.500  0.500  -0.35
S  0.000  0.500  0.000  0.09
S  0.500  0.000  0.000  0.09
N  0.000  0.000  0.500  -0.07

***

Entry 6:
YP2SN: optimized geometry, PBE.

Results
The polymorph energy (0 for the lowest one) is 652 kJ/mol of formula units.

abc: 5.435 5.435 5.231
angles: 90.00 90.00 90.00
Last column: magnetic moment on the atom in μB.
Atoms (fractional coordinates):
Y  0.000  0.000  0.000  0.01
P  0.000  0.500  0.000  0.27
P  0.500  0.000  0.000  0.27
S  0.000  0.000  0.500  0.09
N  0.500  0.500  0.500  1.89

***

Entry 7:
YPS2N: optimized geometry, PBE.

Results
The polymorph energy (0 for the lowest one) is 0 kJ/mol of formula units.

abc: 4.728 4.728 3.508
angles: 90.00 90.00 90.00
Atoms (fractional coordinates):
Y  0.500  0.500  0.500
P  0.000  0.000  0.000
S  0.000  0.500  0.000
S  0.500  0.000  0.000
N  0.000  0.000  0.500

***

Entry 8:
Y6PS3N2: optimized geometry, PBE.

Results
The calculation puts the raw total energy at -7.919 eV per atom.

abc: 3.753 7.698 8.550
angles: 104.53 102.68 90.00
Atoms (fractional coordinates):
Y  0.331  0.883  0.661
Y  0.678  0.563  0.356
Y  0.669  0.117  0.339
Y  0.016  0.257  0.032
Y  0.984  0.743  0.968
Y  0.322  0.437  0.644
P  0.500  0.000  0.000
S  0.500  0.500  0.000
S  0.837  0.169  0.674
S  0.163  0.831  0.326
N  0.829  0.662  0.659
N  0.171  0.338  0.341

***

Entry 9:
ZnPS2N: optimized geometry, PBE.

Results
The polymorph energy (0 for the lowest one) is 385 kJ/mol of formula units.

abc: 4.800 4.800 3.711
angles: 90.00 90.00 90.00
Last column: magnetic moment on the atom in μB.
Atoms (fractional coordinates):
P  0.500  0.500  0.500  0.01
Zn  0.000  0.000  0.000  0.06
S  0.000  0.500  0.000  0.11
S  0.500  0.000  0.000  0.11
N  0.000  0.000  0.500  1.10

***

Entry 10:
Zn2PSN: optimized geometry, PBE.

Results
The calculation puts the raw total energy at -3.529 eV per atom.

abc: 4.050 4.508 4.050
angles: 90.00 90.00 90.00
Atoms (fractional coordinates):
P  0.000  0.500  0.000
Zn  0.000  0.000  0.500
Zn  0.500  0.000  0.000
S  0.500  0.500  0.500
N  0.000  0.000  0.000

***

Entry 11:
ZnPS2N: optimized geometry, PBE.

Results
The polymorph energy (0 for the lowest one) is 273 kJ/mol of formula units.

abc: 4.435 4.435 3.725
angles: 90.00 90.00 90.00
Atoms (fractional coordinates):
P  0.000  0.000  0.500
Zn  0.500  0.500  0.500
S  0.000  0.500  0.000
S  0.500  0.000  0.000
N  0.000  0.000  0.000

***

Entry 12:
ZnPS2N: optimized geometry, PBE.

Results
The polymorph energy (0 for the lowest one) is 641 kJ/mol of formula units.

abc: 4.643 4.643 4.866
angles: 90.00 90.00 90.00
Last column: magnetic moment on the atom in μB.
Atoms (fractional coordinates):
P  0.000  0.000  0.500  -0.47
Zn  0.000  0.000  0.000  0.01
S  0.000  0.500  0.000  0.11
S  0.500  0.000  0.000  0.11
N  0.500  0.500  0.500  1.74

***

Entry 13:
ZnPS2N: optimized geometry, PBE.

Results
The polymorph energy (0 for the lowest one) is 0 kJ/mol of formula units.

abc: 4.700 4.700 3.258
angles: 90.00 90.00 90.00
Atoms (fractional coordinates):
P  0.000  0.000  0.000
Zn  0.500  0.500  0.500
S  0.000  0.500  0.000
S  0.500  0.000  0.000
N  0.000  0.000  0.500

***

Entry 14:
ZrP2SN: optimized geometry, PBE.

Results
The polymorph energy (0 for the lowest one) is 459 kJ/mol of formula units.

abc: 5.127 5.127 4.942
angles: 90.00 90.00 90.00
Last column: magnetic moment on the atom in μB.
Atoms (fractional coordinates):
P  0.000  0.500  0.000  -0.30
P  0.500  0.000  0.000  -0.30
S  0.000  0.000  0.500  -0.12
Zr  0.000  0.000  0.000  0.07
N  0.500  0.500  0.500  1.81

***

Entry 15:
ZrPS2N: optimized geometry, PBE.

Results
The polymorph energy (0 for the lowest one) is 0 kJ/mol of formula units.

abc: 4.694 4.694 3.346
angles: 90.00 90.00 90.00
Atoms (fractional coordinates):
P  0.000  0.000  0.000
S  0.000  0.500  0.000
S  0.500  0.000  0.000
Zr  0.500  0.500  0.500
N  0.000  0.000  0.500

***

Entry 16:
ZrPS2N: optimized geometry, PBE.

Results
The polymorph energy (0 for the lowest one) is 218 kJ/mol of formula units.

abc: 5.088 5.088 3.992
angles: 90.00 90.00 90.00
Atoms (fractional coordinates):
P  0.500  0.500  0.500
S  0.000  0.500  0.000
S  0.500  0.000  0.000
Zr  0.000  0.000  0.000
N  0.000  0.000  0.500

***

Entry 17:
ZrPS2N: optimized geometry, PBE.

Results
The polymorph energy (0 for the lowest one) is 435 kJ/mol of formula units.

abc: 4.964 4.964 5.248
angles: 90.00 90.00 90.00
Last column: magnetic moment on the atom in μB.
Atoms (fractional coordinates):
P  0.000  0.000  0.500  -0.49
S  0.000  0.500  0.000  -0.04
S  0.500  0.000  0.000  -0.04
Zr  0.000  0.000  0.000  0.04
N  0.500  0.500  0.500  1.84

***

Entry 18:
ZrPS2N: optimized geometry, PBE.

Results
The polymorph energy (0 for the lowest one) is 125 kJ/mol of formula units.

abc: 4.212 4.212 4.038
angles: 90.00 90.00 90.00
Atoms (fractional coordinates):
P  0.000  0.000  0.500
S  0.000  0.500  0.000
S  0.500  0.000  0.000
Zr  0.500  0.500  0.500
N  0.000  0.000  0.000

***

Entry 19:
ZrP2SN: optimized geometry, PBE.

Results
The polymorph energy (0 for the lowest one) is 0 kJ/mol of formula units.

abc: 4.073 4.073 4.257
angles: 90.00 90.00 90.00
Atoms (fractional coordinates):
P  0.000  0.500  0.000
P  0.500  0.000  0.000
S  0.000  0.000  0.500
Zr  0.500  0.500  0.500
N  0.000  0.000  0.000

***

Entry 20:
SbP4N7: optimized geometry, PBE.

Results
The calculation puts the raw total energy at -7.043 eV per atom.

abc: 4.731 5.074 12.262
angles: 90.00 90.00 90.00
Last column: magnetic moment on the atom in μB.
Atoms (fractional coordinates):
Sb  0.579  0.833  0.500  0.67
Sb  0.079  0.167  0.000  0.67
P  0.597  0.676  0.880  0.01
P  0.075  0.825  0.242  0.01
P  0.575  0.175  0.258  0.01
P  0.097  0.324  0.620  0.01
P  0.097  0.324  0.380  0.01
P  0.597  0.676  0.120  0.01
P  0.075  0.825  0.758  0.01
P  0.575  0.175  0.742  0.01
N  0.921  0.782  0.126  0.03
N  0.421  0.218  0.374  0.03
N  0.538  0.391  0.832  0.03
N  0.038  0.609  0.668  0.03
N  0.038  0.609  0.332  0.03
N  0.538  0.391  0.168  0.03
N  0.421  0.891  0.791  0.01
N  0.921  0.109  0.709  0.01
N  0.921  0.109  0.291  0.01
N  0.421  0.891  0.209  0.01
N  0.472  0.706  0.000  0.03
N  0.972  0.294  0.500  0.03
N  0.921  0.782  0.874  0.03
N  0.421  0.218  0.626  0.03

***

no.,magnetization (μB/atom)
1,0.0000
2,0.7042
3,0.0000
4,0.0000
5,0.1174
6,0.8532
7,0.0000
8,0.0000
9,0.3916
10,0.0000
11,0.0000
12,0.3790
13,0.0000
14,0.2556
15,0.0000
16,0.0003
17,0.3186
18,0.0000
19,0.0000
20,0.1557